(1)
A plane-wave DFT calculation with PBE-GGA was carried out for crystalline RbHgIr at its relaxed geometry.

Structure (extended XYZ):
```
12
Lattice="5.6610 0.0000 -0.0041 0.0000 12.3676 0.0000 -2.2844 0.0000 4.5466" Properties=species:S:1:pos:R:3 pbc="T T T"
Rb 4.2344 3.5204 0.7027
Rb -0.8578 3.5204 3.8398
Rb 3.0921 9.7043 2.9760
Rb 0.2844 9.7043 1.5665
Hg 1.6883 1.2449 2.2713
Hg 2.8305 7.4287 -0.0020
Hg 1.6883 5.8354 2.2713
Hg 2.8305 12.0192 -0.0020
Ir 0.0000 6.6068 0.0000
Ir -1.1422 0.4230 2.2733
Ir 0.0000 0.4234 0.0000
Ir -1.1422 6.6072 2.2733
```

Computed properties:
- Fermi-level density of states (states/eV per atom) = 0.384
- space-group type = Fmm2 (42)
- ΔE to the lowest computed polymorph (meV per atom) = 156

***

(2)
A plane-wave DFT calculation with PBE-GGA was carried out for crystalline RbHgIr at its relaxed geometry.

Structure (extended XYZ):
```
6
Lattice="-3.4863 -4.2040 0.5525 3.3715 -2.8834 -0.6657 1.4604 0.0731 7.0796" Properties=species:S:1:pos:R:3 pbc="T T T"
Rb -0.4249 -3.7324 6.4573
Rb 1.7704 -3.2819 0.5090
Hg -1.6990 -4.4366 3.0549
Hg 3.0445 -2.5777 3.9114
Ir 0.1680 -2.3694 3.5560
Ir 1.1775 -4.6450 3.4104
```

Computed properties:
- Fermi-level density of states (states/eV per atom) = 0.444
- space-group type = P2_1/m (11)
- ΔE to the lowest computed polymorph (meV per atom) = 21

***

(3)
A plane-wave DFT calculation with PBE-GGA was carried out for crystalline Rb3HgIr at its relaxed geometry.

Structure (extended XYZ):
```
5
Lattice="-4.1889 -4.7234 0.8611 2.3251 -2.9955 -5.1206 4.2007 -3.0521 3.6929" Properties=species:S:1:pos:R:3 pbc="T T T"
Ir 0.0000 0.0000 0.0000
Hg 1.1685 -5.3855 -0.2833
Rb 1.1626 -1.4977 -2.5603
Rb 2.1004 -1.5261 1.8465
Rb -2.0945 -2.3617 0.4305
```

Computed properties:
- Fermi-level density of states (states/eV per atom) = 1.132
- space-group type = Pm-3m (221)
- ΔE to the lowest computed polymorph (meV per atom) = 0

***

(4)
A plane-wave DFT calculation with PBE-GGA was carried out for crystalline Rb2Hg2Ir at its relaxed geometry.

Structure (extended XYZ):
```
10
Lattice="-4.4735 -3.2323 -4.9424 -0.7984 -5.8124 4.5239 -4.6184 2.5765 2.4952" Properties=species:S:1:pos:R:3 pbc="T T T"
Ir 0.0000 0.0000 0.0000
Ir -2.6359 -4.5223 -0.2092
Hg -2.1050 -5.8328 2.1266
Hg -4.2243 -6.5937 -1.0103
Hg -3.1669 -3.2119 -2.5450
Hg -1.0476 -2.4510 0.5918
Rb -3.6062 -3.1583 3.4383
Rb -5.9702 -5.7009 1.6882
Rb -6.2841 -3.3099 -1.3615
Rb -3.9201 -0.7673 0.3886
```

Computed properties:
- final energy (eV/atom) = -2.07
- Fermi-level density of states (states/eV per atom) = 0.340
- space-group type = P4/mbm (127)

***

(5)
A plane-wave DFT calculation with PBE-GGA was carried out for crystalline RbHgIr at its relaxed geometry.

Structure (extended XYZ):
```
12
Lattice="8.2304 0.0000 -0.0110 0.0000 4.8165 0.0000 -7.7950 0.0000 9.2886" Properties=species:S:1:pos:R:3 pbc="T T T"
Rb -6.0641 0.0000 8.4810
Rb 6.4995 0.0000 0.7966
Rb -2.1666 2.4082 3.8367
Rb 2.6020 2.4082 5.4409
Hg -2.8236 0.0000 6.9995
Hg 3.2590 0.0000 2.2781
Hg 1.0739 2.4082 2.3552
Hg -0.6385 2.4082 6.9224
Ir 0.7795 0.0000 3.5972
Ir -0.3440 0.0000 5.6803
Ir -3.1180 2.4082 8.2416
Ir 3.5535 2.4082 1.0360
```

Computed properties:
- Fermi-level density of states (states/eV per atom) = 0.593
- space-group type = C2/m (12)
- ΔE to the lowest computed polymorph (meV per atom) = 152

***

(6)
A plane-wave DFT calculation with PBE-GGA was carried out for crystalline Rb2HgIr at its relaxed geometry.

Structure (extended XYZ):
```
8
Lattice="-1.3411 3.0229 -2.9744 0.7487 -2.9018 -3.2867 -11.2053 -3.8378 -2.1737" Properties=species:S:1:pos:R:3 pbc="T T T"
Ir -0.2962 0.0605 -3.1305
Ir -5.3764 -3.3395 -4.2954
Hg 0.0000 0.0000 0.0000
Hg -6.4213 -0.3772 -4.1393
Rb -3.5396 0.5528 -2.7991
Rb -2.5074 -2.3809 -2.9835
Rb -8.6226 -2.8467 -3.9937
Rb -8.9259 -2.7587 -7.0930
```

Computed properties:
- final energy (eV/atom) = -1.88
- Fermi-level density of states (states/eV per atom) = 0.664
- space-group type = I-42d (122)

***

(7)
A plane-wave DFT calculation with PBE-GGA was carried out for crystalline RbHg2SbIr at its relaxed geometry.

Structure (extended XYZ):
```
5
Lattice="-4.6833 1.0997 -2.5154 -2.7425 -2.0968 4.1895 -0.1161 4.6159 2.2342" Properties=species:S:1:pos:R:3 pbc="T T T"
Sb -0.0581 2.3079 1.1171
Ir 0.0000 0.0000 0.0000
Hg -1.3713 -1.0484 2.0947
Hg -2.3417 0.5499 -1.2577
Rb -3.7710 1.8094 1.9542
```

Computed properties:
- Fermi-level density of states (states/eV per atom) = 0.825
- ΔE_f (raw) (eV per atom) = -0.0621
- space-group type = P4/mmm (123)

***

(8)
A plane-wave DFT calculation with PBE-GGA was carried out for crystalline RbHg2TeIr at its relaxed geometry.

Structure (extended XYZ):
```
5
Lattice="5.3913 0.0000 0.0000 0.0000 5.3913 0.0000 0.0000 0.0000 5.3126" Properties=species:S:1:pos:R:3 pbc="T T T"
Ir 0.0000 0.0000 0.0000
Te 0.0000 0.0000 2.6563
Hg 0.0000 2.6957 0.0000
Hg 2.6957 0.0000 0.0000
Rb 2.6957 2.6957 2.6563
```

Computed properties:
- Fermi-level density of states (states/eV per atom) = 0.829
- ΔE_f (raw) (eV per atom) = -0.1350
- space-group type = P4/mmm (123)

***

(9)
A plane-wave DFT calculation with PBE-GGA was carried out for crystalline RbTlHg2Ir at its relaxed geometry.

Structure (extended XYZ):
```
5
Lattice="-1.1984 -2.0237 -4.8893 -0.6497 -4.9189 2.1952 -5.0987 1.0393 0.8196" Properties=species:S:1:pos:R:3 pbc="T T T"
Tl -2.5493 0.5196 0.4098
Ir 0.0000 0.0000 0.0000
Hg -0.3249 -2.4594 1.0976
Hg -0.5992 -1.0118 -2.4446
Rb -3.4734 -2.9516 -0.9372
```

Computed properties:
- final energy (eV/atom) = -2.63
- Fermi-level density of states (states/eV per atom) = 0.349
- space-group type = P4/mmm (123)

***

(10)
A plane-wave DFT calculation with PBE-GGA was carried out for crystalline RbZn2HgIr at its relaxed geometry.

Structure (extended XYZ):
```
5
Lattice="-2.8221 -2.2892 3.3671 2.1198 -4.3239 -1.1630 3.7677 0.8435 3.7314" Properties=species:S:1:pos:R:3 pbc="T T T"
Zn 1.0599 -2.1620 -0.5815
Zn -1.4111 -1.1446 1.6836
Ir 0.0000 0.0000 0.0000
Hg 1.8839 0.4218 1.8657
Rb 1.5327 -2.8848 2.9678
```

Computed properties:
- final energy (eV/atom) = -2.60
- Fermi-level density of states (states/eV per atom) = 0.393
- space-group type = P4/mmm (123)

***

(11)
A plane-wave DFT calculation with PBE-GGA was carried out for crystalline ReHg2Ir at its relaxed geometry.

Structure (extended XYZ):
```
4
Lattice="-0.2232 -2.8122 -0.5818 3.6253 0.1866 -2.2934 3.0182 -1.2063 4.6729" Properties=species:S:1:pos:R:3 pbc="T T T"
Hg 0.0034 -0.0014 0.0052
Hg 1.5057 -0.6018 2.3312
Ir 2.4556 -1.6143 -0.2693
Re 3.9647 -2.2175 2.0671
```

Computed properties:
- Fermi-level density of states (states/eV per atom) = 1.351
- space-group type = Pmmm (47)
- ΔE to the lowest computed polymorph (meV per atom) = 660

***

(12)
A plane-wave DFT calculation with PBE-GGA was carried out for crystalline ReHgIr2 at its relaxed geometry.

Structure (extended XYZ):
```
4
Lattice="2.8241 0.0000 0.0000 0.0000 4.8487 0.0000 0.0000 0.0000 4.7254" Properties=species:S:1:pos:R:3 pbc="T T T"
Hg 0.0000 2.4244 2.3627
Ir 0.0000 0.0000 0.0000
Ir 1.4121 2.4244 0.0000
Re 1.4121 0.0000 2.3627
```

Computed properties:
- final energy (eV/atom) = -6.86
- Fermi-level density of states (states/eV per atom) = 1.005
- space-group type = Pmmm (47)